Below is a relaxed LaTiNbGe2 crystal, with properties calculated at the PBE level.

Values from the calculation:
Its space group is I-4m2. The uncorrected energy is -7.070 eV per atom. For the calculated formation energy, the calculation gives -62 kJ per mole of atoms.

Lattice parameters (Å, degrees): 4.1327 4.1327 12.2070 90.00 90.00 90.00
Last column: nearest neighbours and their distance in Å.
Fractional coordinates of all 10 atoms:
La1 0.0000 0.0000 0.0000  8 Ge 3.21
La2 0.5000 0.5000 0.5000  8 Ge 3.21
Ti1 0.0000 0.5000 0.7500  4 Ge 2.69, 4 Nb 2.92
Ti2 0.5000 0.0000 0.2500  4 Ge 2.69, 4 Nb 2.92
Nb1 0.0000 0.5000 0.2500  4 Ge 2.69, 4 Ti 2.92
Nb2 0.5000 0.0000 0.7500  4 Ge 2.69, 4 Ti 2.92
Ge1 0.0000 0.0000 0.3909  1 Ge 2.66, 2 Nb 2.69, 2 Ti 2.69
Ge2 0.0000 0.0000 0.6091  1 Ge 2.66, 2 Nb 2.69, 2 Ti 2.69
Ge3 0.5000 0.5000 0.1091  1 Ge 2.66, 2 Nb 2.69, 2 Ti 2.69
Ge4 0.5000 0.5000 0.8909  1 Ge 2.66, 2 Nb 2.69, 2 Ti 2.69

=====

Below is a relaxed MgBRh2 crystal, with properties calculated at the PBE level.

Values from the calculation:
Its space group is C2/m. The uncorrected energy is -6.174 eV per atom. For the calculated formation energy, the calculation gives -41 kJ per mole of atoms.

Lattice parameters (Å, degrees): 10.9425 2.8816 6.5912 90.00 96.91 90.00
Last column: nearest neighbours and their distance in Å.
Fractional coordinates of all 16 atoms:
Mg1 0.1285 0.0000 0.4726  1 B 2.68, 7 Rh 2.70-2.88, 3 Mg 2.88
Mg2 0.3715 0.5000 0.5274  1 B 2.68, 7 Rh 2.70-2.88, 3 Mg 2.88
Mg3 0.6285 0.5000 0.4726  1 B 2.68, 7 Rh 2.70-2.88, 3 Mg 2.88
Mg4 0.8715 0.0000 0.5274  1 B 2.68, 7 Rh 2.70-2.88, 3 Mg 2.88
B1 0.0872 0.0000 0.0641  1 B 1.99, 2 Rh 2.11
B2 0.4128 0.5000 0.9359  1 B 1.99, 2 Rh 2.11
B3 0.5872 0.5000 0.0641  1 B 1.99, 2 Rh 2.11
B4 0.9128 0.0000 0.9359  1 B 1.99, 2 Rh 2.11
Rh1 0.0407 0.5000 0.8049  4 B 2.25
Rh2 0.2212 0.5000 0.1703  2 B 2.11
Rh3 0.2788 0.0000 0.8297  2 B 2.11
Rh4 0.4593 0.0000 0.1951  4 B 2.25
Rh5 0.5407 0.0000 0.8049  4 B 2.25
Rh6 0.7212 0.0000 0.1703  2 B 2.11
Rh7 0.7788 0.5000 0.8297  2 B 2.11
Rh8 0.9593 0.5000 0.1951  4 B 2.25

=====

Below is a relaxed Hg4Bi3Pb4 crystal, with properties calculated at the PBE level.

Values from the calculation:
Its space group is Immm. The uncorrected energy is -2.449 eV per atom. For the calculated formation energy, the calculation gives 7 kJ per mole of atoms.

Lattice parameters (Å, degrees): 10.5448 10.5448 10.5448 160.95 118.67 64.85
Last column: nearest neighbours and their distance in Å.
Fractional coordinates of all 11 atoms:
Hg1 0.0680 0.8232 0.2449  4 Hg 3.14-3.49, 3 Pb 3.16-3.26, 2 Bi 3.35
Hg2 0.4217 0.1768 0.2449  4 Hg 3.14-3.49, 3 Pb 3.16-3.26, 2 Bi 3.35
Hg3 0.5783 0.8232 0.7551  4 Hg 3.14-3.49, 3 Pb 3.16-3.26, 2 Bi 3.35
Hg4 0.9320 0.1768 0.7551  4 Hg 3.14-3.49, 3 Pb 3.16-3.26, 2 Bi 3.35
Bi1 0.1145 0.6145 0.5000  4 Hg 3.35, 2 Bi 3.49, 4 Pb 3.55
Bi2 0.5000 0.5000 0.0000  6 Pb 3.37-3.52, 2 Bi 3.49
Bi3 0.8855 0.3855 0.5000  4 Hg 3.35, 2 Bi 3.49, 4 Pb 3.55
Pb1 0.2157 0.0000 0.2157  2 Hg 3.16, 2 Pb 3.49, 2 Bi 3.52
Pb2 0.3109 0.3109 0.0000  6 Hg 3.26-3.55, 1 Bi 3.37, 2 Pb 3.49
Pb3 0.6891 0.6891 0.0000  6 Hg 3.26-3.55, 1 Bi 3.37, 2 Pb 3.49
Pb4 0.7843 0.0000 0.7843  2 Hg 3.16, 2 Pb 3.49, 2 Bi 3.52

=====

Below is a relaxed CeZrCo2 crystal, with properties calculated at the PBE level.

Values from the calculation:
Its space group is P4/mmm. The energy above the most stable polymorph in this dataset comes out at 0.000 eV per atom. The uncorrected energy is -7.357 eV per atom. For the calculated formation energy, the calculation gives -18 kJ per mole of atoms.

Lattice parameters (Å, degrees): 3.1542 3.1542 7.0190 90.00 90.00 90.00
Last column: nearest neighbours and their distance in Å.
Fractional coordinates of all 4 atoms:
Ce1 0.0000 0.0000 0.0000  8 Co 3.00, 4 Ce 3.15
Zr1 0.0000 0.0000 0.5000  8 Co 2.69
Co1 0.5000 0.5000 0.2849  4 Zr 2.69, 4 Ce 3.00
Co2 0.5000 0.5000 0.7151  4 Zr 2.69, 4 Ce 3.00

=====

Below is a relaxed Re2PO2 crystal, with properties calculated at the PBE level.

Values from the calculation:
Its space group is P4/mbm. The energy above the most stable polymorph in this dataset comes out at 0.446 eV per atom. The uncorrected energy is -7.885 eV per atom. Its uncorrected formation energy is 0.8 eV per formula unit.

Lattice parameters (Å, degrees): 6.8558 6.8558 2.6435 90.00 90.00 90.00
Last column: nearest neighbours and their distance in Å.
Fractional coordinates of all 10 atoms:
Re1 0.2172 0.2828 0.0000  2 O 2.01
Re2 0.2828 0.7828 0.0000  2 O 2.01
Re3 0.7172 0.2172 0.0000  2 O 2.01
Re4 0.7828 0.7172 0.0000  2 O 2.01
P1 0.0000 0.0000 0.0000  4 Re 2.44, 2 P 2.64
P2 0.5000 0.5000 0.0000  4 Re 2.44, 2 P 2.64
O1 0.1259 0.6259 0.5000  2 Re 2.01
O2 0.3741 0.1259 0.5000  2 Re 2.01
O3 0.6259 0.8741 0.5000  2 Re 2.01
O4 0.8741 0.3741 0.5000  2 Re 2.01

=====

Below is a relaxed SrTi2Cu2 crystal, with properties calculated at the PBE level.

Values from the calculation:
Its space group is I4/mmm. The energy above the most stable polymorph in this dataset comes out at 0.121 eV per atom. The uncorrected energy is -4.761 eV per atom. For the calculated formation energy, the calculation gives 36 kJ per mole of atoms.

Lattice parameters (Å, degrees): 4.6530 4.6530 9.8410 90.00 90.00 90.00
Last column: nearest neighbours and their distance in Å.
Fractional coordinates of all 10 atoms:
Sr1 0.0000 0.0000 0.0000  8 Cu 3.39, 10 Ti 3.48-3.59
Sr2 0.5000 0.5000 0.5000  8 Cu 3.39, 10 Ti 3.48-3.59
Ti1 0.0000 0.0000 0.3535  4 Cu 2.54
Ti2 0.0000 0.0000 0.6465  4 Cu 2.54
Ti3 0.5000 0.5000 0.1465  4 Cu 2.54
Ti4 0.5000 0.5000 0.8535  4 Cu 2.54
Cu1 0.0000 0.5000 0.2500  4 Ti 2.54
Cu2 0.0000 0.5000 0.7500  4 Ti 2.54
Cu3 0.5000 0.0000 0.2500  4 Ti 2.54
Cu4 0.5000 0.0000 0.7500  4 Ti 2.54

=====

Below is a relaxed MnZn crystal, with properties calculated at the PBE level.

Values from the calculation:
Its space group is P4/nmm. The uncorrected energy is -5.098 eV per atom. For the calculated formation energy, the calculation gives 12 kJ per mole of atoms.

Lattice parameters (Å, degrees): 2.7785 2.7785 7.3225 90.00 90.00 90.00
Last column: nearest neighbours and their distance in Å.
Fractional coordinates of all 4 atoms:
Mn1 0.2500 0.2500 0.1232  8 Mn 2.67-2.78, 4 Zn 2.68
Mn2 0.7500 0.7500 0.8768  8 Mn 2.67-2.78, 4 Zn 2.68
Zn1 0.2500 0.2500 0.6283  4 Mn 2.68, 8 Zn 2.72-2.78
Zn2 0.7500 0.7500 0.3717  4 Mn 2.68, 8 Zn 2.72-2.78

=====

Below is a relaxed AsI2Br crystal, with properties calculated at the PBE level.

Values from the calculation:
Its space group is Fm-3m. The energy above the most stable polymorph in this dataset comes out at 0.713 eV per atom. The uncorrected energy is -1.894 eV per atom. Its uncorrected formation energy is 1.8 eV per formula unit.

Lattice parameters (Å, degrees): 7.6445 7.6445 7.6445 90.00 90.00 90.00
Last column: nearest neighbours and their distance in Å.
Fractional coordinates of all 16 atoms:
As1 0.0000 0.0000 0.0000  8 I 3.31
As2 0.0000 0.5000 0.5000  8 I 3.31
As3 0.5000 0.0000 0.5000  8 I 3.31
As4 0.5000 0.5000 0.0000  8 I 3.31
I1 0.2500 0.2500 0.2500  4 As 3.31, 4 Br 3.31
I2 0.2500 0.2500 0.7500  4 As 3.31, 4 Br 3.31
I3 0.2500 0.7500 0.2500  4 As 3.31, 4 Br 3.31
I4 0.2500 0.7500 0.7500  4 As 3.31, 4 Br 3.31
I5 0.7500 0.2500 0.2500  4 As 3.31, 4 Br 3.31
I6 0.7500 0.2500 0.7500  4 As 3.31, 4 Br 3.31
I7 0.7500 0.7500 0.2500  4 As 3.31, 4 Br 3.31
I8 0.7500 0.7500 0.7500  4 Br 3.31, 4 As 3.31
Br1 0.0000 0.0000 0.5000  8 I 3.31
Br2 0.0000 0.5000 0.0000  8 I 3.31
Br3 0.5000 0.0000 0.0000  8 I 3.31
Br4 0.5000 0.5000 0.5000  8 I 3.31

=====

Below is a relaxed Ho4Te2CS crystal, with properties calculated at the PBE level.

Values from the calculation:
Its space group is P2/m. The uncorrected energy is -6.037 eV per atom. Its uncorrected formation energy is -10.4 eV per formula unit.

Lattice parameters (Å, degrees): 6.8754 3.9230 7.2997 90.00 108.07 90.00
Last column: nearest neighbours and their distance in Å.
Fractional coordinates of all 8 atoms:
Ho1 0.2093 0.0000 0.1933  2 C 2.58, 1 S 2.78
Ho2 0.2402 0.5000 0.8030  1 C 2.50, 2 S 2.74
Ho3 0.7598 0.5000 0.1970  1 C 2.50, 2 S 2.74
Ho4 0.7907 0.0000 0.8067  2 C 2.58, 1 S 2.78
Te1 0.0000 0.0000 0.5000  6 Ho 3.01-3.03
Te2 0.5000 0.5000 0.5000  6 Ho 3.17-3.25
C1 0.0000 0.5000 0.0000  6 Ho 2.50-2.58
S1 0.5000 0.0000 0.0000  6 Ho 2.74-2.78